{
  "formula": "CsPuMnO6",
  "functional": "PBE with a Hubbard U",
  "state": "optimized geometry",
  "mass_density_g_cm3": 5.3,
  "total_energy_ev_per_atom": -7.732,
  "lattice": [[5.2831, 0.0007, -0.0028], [2.6411, 4.5766, 0.0004], [-0.0066, -0.0029, 6.8342]],
  "species": ["O", "O", "O", "O", "O", "O", "Mn", "Pu", "Cs"],
  "frac_coords": [[0.0098, 0.3707, 0.3418], [0.3710, 0.0102, 0.6583], [0.6188, 0.0101, 0.3417], [0.6194, 0.3707, 0.6581], [0.3702, 0.6191, 0.3418], [0.0106, 0.6191, 0.6582], [0.3333, 0.3334, 0.5000], [0.6666, 0.6667, 0.5000], [0.9999, 0.0001, 0.0000]]
}